! PBE GaTcPt2, optimized geometry; values from VASP
! Final energy, eV for the cell shown: -25.916
&SYSTEM
  ibrav = 0, nat = 4, ntyp = 3
/
ATOMIC_SPECIES
Ga 69.72 Ga.upf
Tc 98.00 Tc.upf
Pt 195.08 Pt.upf
ATOMIC_POSITIONS crystal
Ga 0.0000 0.0000 0.0000
Tc 0.2500 0.2500 0.2500
Pt 0.5000 0.5000 0.5000
Pt 0.7500 0.7500 0.7500
CELL_PARAMETERS angstrom
0.0000 3.1265 3.1265
3.1265 0.0000 3.1265
3.1265 3.1265 0.0000


! PBE GaTePt, optimized geometry; values from VASP
! Final energy, eV for the cell shown: -13.143
&SYSTEM
  ibrav = 0, nat = 3, ntyp = 3
/
ATOMIC_SPECIES
Ga 69.72 Ga.upf
Te 127.60 Te.upf
Pt 195.08 Pt.upf
ATOMIC_POSITIONS crystal
Ga 0.0000 0.0000 0.0000
Te 0.5000 0.5000 0.5000
Pt 0.2500 0.2500 0.2500
CELL_PARAMETERS angstrom
0.0000 3.2064 3.2064
3.2064 0.0000 3.2064
3.2064 3.2064 0.0000


! PBE ThGaPt2, optimized geometry; values from VASP
! Final energy, eV for the cell shown: -107.316
&SYSTEM
  ibrav = 0, nat = 16, ntyp = 3
/
ATOMIC_SPECIES
Th 232.04 Th.upf
Ga 69.72 Ga.upf
Pt 195.08 Pt.upf
ATOMIC_POSITIONS crystal
Th 0.0304 0.2500 0.1573
Th 0.4696 0.7500 0.6573
Th 0.5304 0.2500 0.3427
Th 0.9696 0.7500 0.8427
Ga 0.1142 0.7500 0.3465
Ga 0.3858 0.2500 0.8465
Ga 0.6142 0.7500 0.1535
Ga 0.8858 0.2500 0.6535
Pt 0.1906 0.0503 0.5773
Pt 0.1906 0.4497 0.5773
Pt 0.3094 0.5503 0.0773
Pt 0.3094 0.9497 0.0773
Pt 0.6906 0.0503 0.9227
Pt 0.6906 0.4497 0.9227
Pt 0.8094 0.5503 0.4227
Pt 0.8094 0.9497 0.4227
CELL_PARAMETERS angstrom
7.5274 0.0000 0.0000
0.0000 7.0701 0.0000
0.0000 0.0000 5.9672


! PBE TlGa2Pt2, optimized geometry; values from VASP
! Final energy, eV for the cell shown: -22.478
&SYSTEM
  ibrav = 0, nat = 5, ntyp = 3
/
ATOMIC_SPECIES
Tl 204.38 Tl.upf
Ga 69.72 Ga.upf
Pt 195.08 Pt.upf
ATOMIC_POSITIONS crystal
Tl 0.0000 0.0000 0.0000
Ga 0.2500 0.7500 0.5000
Ga 0.7500 0.2500 0.5000
Pt 0.3819 0.3819 0.0000
Pt 0.6181 0.6181 0.0000
CELL_PARAMETERS angstrom
-1.9965 1.9965 6.0091
1.9965 -1.9965 6.0091
1.9965 1.9965 -6.0091


! PBE TmGaPt, optimized geometry; values from VASP
! Final energy, eV for the cell shown: -14.642
&SYSTEM
  ibrav = 0, nat = 3, ntyp = 3
/
ATOMIC_SPECIES
Tm 168.93 Tm.upf
Ga 69.72 Ga.upf
Pt 195.08 Pt.upf
ATOMIC_POSITIONS crystal
Tm 0.0000 0.0000 0.0000
Ga 0.7500 0.7500 0.7500
Pt 0.2500 0.2500 0.2500
CELL_PARAMETERS angstrom
0.0000 3.2641 3.2641
3.2641 0.0000 3.2641
3.2641 3.2641 0.0000


! PBE TmGaPt, optimized geometry; values from VASP
! Final energy, eV for the cell shown: -67.710
&SYSTEM
  ibrav = 0, nat = 12, ntyp = 3
/
ATOMIC_SPECIES
Tm 168.93 Tm.upf
Ga 69.72 Ga.upf
Pt 195.08 Pt.upf
ATOMIC_POSITIONS crystal
Tm 0.0143 0.2500 0.1975
Tm 0.4857 0.7500 0.6975
Tm 0.5143 0.2500 0.3025
Tm 0.9857 0.7500 0.8025
Ga 0.1727 0.2500 0.5745
Ga 0.3273 0.7500 0.0745
Ga 0.6727 0.2500 0.9255
Ga 0.8273 0.7500 0.4255
Pt 0.2274 0.7500 0.4008
Pt 0.2726 0.2500 0.9008
Pt 0.7274 0.7500 0.0992
Pt 0.7726 0.2500 0.5992
CELL_PARAMETERS angstrom
6.7996 0.0000 0.0000
0.0000 4.4043 0.0000
0.0000 0.0000 7.6688


! PBE TmGaPt, optimized geometry; values from VASP
! Final energy, eV for the cell shown: -15.373
&SYSTEM
  ibrav = 0, nat = 3, ntyp = 3
/
ATOMIC_SPECIES
Tm 168.93 Tm.upf
Ga 69.72 Ga.upf
Pt 195.08 Pt.upf
ATOMIC_POSITIONS crystal
Tm 0.0000 0.0000 0.0000
Ga 0.7500 0.7500 0.7500
Pt 0.5000 0.5000 0.5000
CELL_PARAMETERS angstrom
0.0000 3.1552 3.1552
3.1552 0.0000 3.1552
3.1552 3.1552 0.0000


! PBE TmGa2Pt3, optimized geometry; values from VASP
! Final energy, eV for the cell shown: -69.003
&SYSTEM
  ibrav = 0, nat = 12, ntyp = 3
/
ATOMIC_SPECIES
Tm 168.93 Tm.upf
Ga 69.72 Ga.upf
Pt 195.08 Pt.upf
ATOMIC_POSITIONS crystal
Tm 0.0000 0.0000 0.2500
Tm 0.0000 0.0000 0.7500
Ga 0.3333 0.6667 0.0874
Ga 0.3333 0.6667 0.4126
Ga 0.6667 0.3333 0.5874
Ga 0.6667 0.3333 0.9126
Pt 0.0000 0.0000 0.0000
Pt 0.0000 0.0000 0.5000
Pt 0.3333 0.6667 0.6272
Pt 0.3333 0.6667 0.8728
Pt 0.6667 0.3333 0.1272
Pt 0.6667 0.3333 0.3728
CELL_PARAMETERS angstrom
4.4008 0.0000 0.0000
-2.2004 3.8112 0.0000
0.0000 0.0000 12.2830


! PBE Tm2Ga8Pt, optimized geometry; values from VASP
! Final energy, eV for the cell shown: -45.121
&SYSTEM
  ibrav = 0, nat = 11, ntyp = 3
/
ATOMIC_SPECIES
Tm 168.93 Tm.upf
Ga 69.72 Ga.upf
Pt 195.08 Pt.upf
ATOMIC_POSITIONS crystal
Tm 0.0000 0.0000 0.1891
Tm 0.0000 0.0000 0.8109
Ga 0.0000 0.5000 0.0000
Ga 0.0000 0.5000 0.3714
Ga 0.0000 0.5000 0.6286
Ga 0.5000 0.0000 0.0000
Ga 0.5000 0.0000 0.3714
Ga 0.5000 0.0000 0.6286
Ga 0.5000 0.5000 0.1933
Ga 0.5000 0.5000 0.8067
Pt 0.0000 0.0000 0.5000
CELL_PARAMETERS angstrom
4.3179 0.0000 0.0000
0.0000 4.3179 0.0000
0.0000 0.0000 11.0380


! PBE YTmGa2Pt4, optimized geometry; values from VASP
! Final energy, eV for the cell shown: -48.452
&SYSTEM
  ibrav = 0, nat = 8, ntyp = 4
/
ATOMIC_SPECIES
Y 88.91 Y.upf
Tm 168.93 Tm.upf
Ga 69.72 Ga.upf
Pt 195.08 Pt.upf
ATOMIC_POSITIONS crystal
Y 0.0000 0.0000 0.0000
Tm 0.5000 0.5000 0.5000
Ga 0.0000 0.0000 0.5000
Ga 0.5000 0.5000 0.0000
Pt 0.0000 0.5000 0.2547
Pt 0.0000 0.5000 0.7453
Pt 0.5000 0.0000 0.2547
Pt 0.5000 0.0000 0.7453
CELL_PARAMETERS angstrom
4.6813 0.0000 0.0000
0.0000 4.6813 0.0000
0.0000 0.0000 6.6420


! PBE YTmGa2Pt4, optimized geometry; values from VASP
! Final energy, eV for the cell shown: -49.776
&SYSTEM
  ibrav = 0, nat = 8, ntyp = 4
/
ATOMIC_SPECIES
Y 88.91 Y.upf
Tm 168.93 Tm.upf
Ga 69.72 Ga.upf
Pt 195.08 Pt.upf
ATOMIC_POSITIONS crystal
Y 0.0000 0.0000 0.0000
Tm 0.3333 0.6667 0.5000
Ga 0.6667 0.3333 0.2506
Ga 0.6667 0.3333 0.7494
Pt 0.0000 0.0000 0.3389
Pt 0.0000 0.0000 0.6611
Pt 0.3333 0.6667 0.1675
Pt 0.3333 0.6667 0.8325
CELL_PARAMETERS angstrom
4.3765 0.0000 0.0000
-2.1882 3.7901 0.0000
0.0000 0.0000 9.0803


! PBE TmZn2GaPt4, optimized geometry; values from VASP
! Final energy, eV for the cell shown: -40.328
&SYSTEM
  ibrav = 0, nat = 8, ntyp = 4
/
ATOMIC_SPECIES
Tm 168.93 Tm.upf
Zn 65.41 Zn.upf
Ga 69.72 Ga.upf
Pt 195.08 Pt.upf
ATOMIC_POSITIONS crystal
Tm 0.0000 0.0000 0.0000
Zn 0.0000 0.0000 0.5000
Zn 0.5000 0.5000 0.0000
Ga 0.5000 0.5000 0.5000
Pt 0.0000 0.5000 0.2703
Pt 0.0000 0.5000 0.7297
Pt 0.5000 0.0000 0.2703
Pt 0.5000 0.0000 0.7297
CELL_PARAMETERS angstrom
4.1618 0.0000 0.0000
0.0000 4.1618 0.0000
0.0000 0.0000 7.4003